The following is a DFT calculation (GGA-PBEsol) of Zr2AgHg after structural relaxation.

M_tot, μB per formula unit: 0.00
DFT formation energy, eV per atom: -0.1701

Cell lengths 3.047, 3.047, 8.486 Å; angles 90.00, 90.00, 90.00 degrees
Positions (direct):
Zr1 0.000 0.000 0.757
Zr2 0.000 0.000 0.243
Ag1 0.500 0.500 0.000
Hg1 0.500 0.500 0.500

***

The following is a DFT calculation (GGA-PBEsol) of ZrAgHg2 after structural relaxation.

M_tot, μB per formula unit: 0.00
DFT formation energy, eV per atom: -0.0999

Cell lengths 2.932, 4.762, 5.754 Å; angles 90.00, 91.16, 90.00 degrees
Positions (direct):
Hg1 0.993 0.000 0.988
Hg2 0.985 0.500 0.267
Ag1 0.023 0.500 0.744
Zr1 0.498 0.000 0.500

***

The following is a DFT calculation (GGA-PBEsol) of Zr2AgHg after structural relaxation.

M_tot, μB per formula unit: 0.00
DFT formation energy, eV per atom: -0.1858

Cell lengths 4.271, 4.271, 5.252 Å; angles 113.99, 113.99, 90.00 degrees
Positions (direct):
Ag1 0.500 0.500 0.000
Zr1 0.250 0.750 0.500
Zr2 0.750 0.250 0.500
Hg1 0.000 0.000 0.000

***

The following is a DFT calculation (GGA-PBEsol) of ZrAgHg2 after structural relaxation.

M_tot, μB per formula unit: 0.00
DFT formation energy, eV per atom: -0.1644

Cell lengths 3.187, 3.221, 7.578 Å; angles 90.00, 90.02, 90.00 degrees
Positions (direct):
Zr1 0.500 0.500 0.000
Hg1 0.000 0.000 0.739
Hg2 0.000 0.000 0.261
Ag1 0.500 0.500 0.500

***

The following is a DFT calculation (GGA-PBEsol) of Zr2AgHg after structural relaxation.

M_tot, μB per formula unit: 0.00
DFT formation energy, eV per atom: -0.1812

Cell lengths 3.507, 3.507, 6.534 Å; angles 90.00, 90.00, 90.00 degrees
Positions (direct):
Zr1 0.500 0.500 0.268
Zr2 0.000 0.000 0.986
Ag1 0.000 0.000 0.506
Hg1 0.500 0.500 0.740

***

The following is a DFT calculation (GGA-PBEsol) of Zr2AgHg after structural relaxation.

M_tot, μB per formula unit: 0.00
DFT formation energy, eV per atom: -0.1588

Cell lengths 3.009, 4.968, 5.270 Å; angles 90.00, 90.00, 90.00 degrees
Positions (direct):
Zr1 0.000 0.500 0.690
Zr2 0.000 0.000 0.059
Hg1 0.500 0.500 0.203
Ag1 0.500 0.000 0.548